# 1
Al2HRh: optimized geometry, PBE-GGA.

```
4
Lattice="0.000 2.941 2.941 2.941 0.000 2.941 2.941 2.941 0.000" Properties=species:S:1:pos:R:3 pbc="T T T"
Rh 2.941 2.941 2.941
Al 4.411 4.411 4.411
H 0.000 0.000 0.000
Al 1.470 1.470 1.470
```

Calculated values
Total energy: -4.591 eV per atom

---

# 2
Dy6In2Pt: optimized geometry, PBE-GGA.

```
9
Lattice="-2.112 -0.821 -3.062 1.806 -8.461 1.024 -6.981 3.465 3.885" Properties=species:S:1:pos:R:3 pbc="T T T"
Dy 0.038 -5.534 -0.911
In -4.051 -0.509 2.930
Dy -3.095 -2.379 0.403
In -1.125 -4.485 1.979
Dy 0.088 -7.606 1.980
Pt -1.055 -0.415 -1.530
Dy -3.902 -3.765 3.701
Dy -3.480 -6.772 1.847
Dy 0.445 -2.087 0.253
```

Calculated values
DFT formation energy: -4.75 eV/f.u.

---

Short version: spin magnetization = 0.034; 0.000 μB per atom, in the order given.